An optimized crystal structure of K2MnOF5. Source: the Alexandria database, functional GGA+U.

Values from the calculation:
**Final energy**: -4.77 eV per atom

Cell lengths 8.1430, 6.1523, 6.1776 Å; angles 83.58, 90.00, 90.00 degrees
Site moments in Bohr magnetons follow the coordinates.
Positions (direct):
K1 0.2500 0.0326 0.4718  0.00
K2 0.7500 0.9674 0.5282  0.00
K3 0.2500 0.4976 0.9330  0.00
K4 0.7500 0.5024 0.0670  0.00
Mn1 0.5000 0.0000 0.0000  3.70
Mn2 0.0000 0.0000 0.0000  3.70
O1 0.2500 0.5561 0.4375  1.33
O2 0.7500 0.4439 0.5625  1.33
F1 0.4801 0.2318 0.1723  -0.01
F2 0.5199 0.7682 0.8277  -0.01
F3 0.9801 0.7682 0.8277  -0.01
F4 0.0199 0.2318 0.1723  -0.01
F5 0.9634 0.8067 0.2519  0.01
F6 0.0366 0.1933 0.7481  0.01
F7 0.4634 0.1933 0.7481  0.01
F8 0.5366 0.8067 0.2519  0.01
F9 0.2500 0.9425 0.0268  0.02
F10 0.7500 0.0575 0.9732  0.02